HgBiRh2, relaxed, DFT GGA-PBE; E_tot = -18.479 eV for the cell shown; space-group type = No. 123; DFT formation energy = 102 meV per atom; Fermi-level density of states = 3.28 states/eV/cell
1.0
4.562 0.000 0.000
0.000 4.562 0.000
0.000 0.000 3.575
Hg Bi Rh
1 1 2
Cartesian
0.000 0.000 0.000 Hg
2.281 2.281 0.000 Bi
0.000 2.281 1.788 Rh
2.281 0.000 1.788 Rh

Hg2BiRh, relaxed, DFT GGA-PBE; E_tot = -11.671 eV for the cell shown; space-group type = No. 160; DFT formation energy = 41 meV per atom; Fermi-level density of states = 0.68 states/eV/cell
1.0
1.756 1.014 9.171
-1.756 1.014 9.171
0.000 -2.028 9.171
Hg Bi Rh
2 1 1
Cartesian
0.000 0.000 0.000 Hg
0.000 0.000 11.692 Hg
0.000 0.000 15.479 Bi
0.000 0.000 4.523 Rh